Record 1
{"formula": "Ca2MgAg3", "functional": "meta-GGA SCAN", "state": "PBEsol geometry", "cell": [[-3.1072, -1.1382, -4.8009], [-1.2534, -2.7277, 4.9987], [-5.7242, 6.5665, 2.1479]], "species": ["Ca", "Mg", "Ag", "Ca", "Mg", "Ca", "Ag", "Ag", "Ag", "Ca", "Ag", "Ag"], "fractional_positions": [[0.6667, 0.3333, 0.9390], [0.0000, 0.0000, 0.5000], [0.8302, 0.6603, 0.2500], [0.6667, 0.3333, 0.5610], [0.0000, 0.0000, 0.0000], [0.3333, 0.6667, 0.4390], [0.8302, 0.1698, 0.2500], [0.6603, 0.8302, 0.7500], [0.1698, 0.3397, 0.7500], [0.3333, 0.6667, 0.0610], [0.1698, 0.8302, 0.7500], [0.3397, 0.1698, 0.2500]], "ef_kj_per_mol_atoms": -28, "space_group": "P6_3/mmc, No. 194", "dos_at_fermi_per_ev_fu": 3.5, "crystal_system": "hexagonal"}

Record 2
{"formula": "MgSb2W", "functional": "meta-GGA SCAN", "state": "PBEsol geometry", "cell": [[-0.9407, -2.5424, -2.0629], [-0.8530, -1.8820, 2.7083], [-6.7880, 2.7152, -0.2511]], "species": ["Sb", "W", "Mg", "Sb"], "fractional_positions": [[0.5000, 0.5000, 0.3185], [0.0000, 0.0000, 0.5056], [0.5000, 0.5000, 0.7194], [0.0000, 0.0000, 0.9565]], "space_group": "P4mm, No. 99", "raw_formation_energy_ev_per_atom": 0.42, "dos_at_fermi_per_ev_fu": 2.6, "crystal_system": "tetragonal"}

Record 3
{"formula": "MoPO5", "functional": "meta-GGA SCAN", "state": "PBEsol geometry", "cell": [[-0.7755, 0.1795, 6.9160], [-0.2229, -6.1363, -3.2804], [8.6218, 2.1855, -0.8864]], "species": ["O", "Mo", "O", "P", "O", "O", "O", "O", "Mo", "O", "O", "O", "O", "O", "O", "O", "O", "O", "O", "P", "O", "P", "Mo", "O", "P", "Mo", "O", "O"], "fractional_positions": [[0.5995, 0.3910, 0.4590], [0.3803, 0.6305, 0.2501], [0.3406, 0.3408, 0.1707], [0.2198, 0.7198, 0.9290], [0.0046, 0.4743, 0.8208], [0.3702, 0.5790, 0.4592], [0.7243, 0.7546, 0.3208], [0.5908, 0.0906, 0.6707], [0.8805, 0.1303, 0.7501], [0.1070, 0.0770, 0.3207], [0.1701, 0.1699, 0.8293], [0.6410, 0.3495, 0.9590], [0.7563, 0.7863, 0.6793], [0.1610, 0.8698, 0.0408], [0.8290, 0.1202, 0.9592], [0.6535, 0.1837, 0.1792], [0.1198, 0.9110, 0.5408], [0.0363, 0.5063, 0.1793], [0.9319, 0.1405, 0.5410], [0.7909, 0.2909, 0.0710], [0.4199, 0.9201, 0.3293], [0.5409, 0.5409, 0.5710], [0.3802, 0.1304, 0.2499], [0.3270, 0.8570, 0.8207], [0.9698, 0.9698, 0.4290], [0.3804, 0.1302, 0.7499], [0.4337, 0.4035, 0.6792], [0.3905, 0.6819, 0.0410]], "space_group": "Fddd, No. 70", "raw_formation_energy_ev_per_atom": -2.18, "dos_at_fermi_per_ev_fu": 2.1, "crystal_system": "orthorhombic"}

Record 4
{"formula": "KRb2AlCl6", "functional": "meta-GGA SCAN", "state": "PBEsol geometry", "cell": [[-4.1059, -5.6502, 2.4127], [3.0773, -5.3121, 4.1129], [-1.6726, -0.5521, 7.1765]], "species": ["Cl", "Cl", "Cl", "Al", "Cl", "K", "Cl", "Cl", "Rb", "Rb"], "fractional_positions": [[0.7219, 0.7219, 0.2781], [0.2781, 0.7219, 0.2781], [0.7219, 0.2781, 0.7219], [0.5000, 0.5000, 0.5000], [0.7219, 0.2781, 0.2781], [0.0000, 0.0000, 0.0000], [0.2781, 0.7219, 0.7219], [0.2781, 0.2781, 0.7219], [0.7500, 0.7500, 0.7500], [0.2500, 0.2500, 0.2500]], "space_group": "Fm-3m, No. 225", "raw_formation_energy_ev_per_atom": -2.03, "dos_at_fermi_per_ev_fu": 0.0, "crystal_system": "cubic"}

Record 5
{"formula": "ZrScAu2", "functional": "meta-GGA SCAN", "state": "PBEsol geometry", "cell": [[-2.2142, -0.7036, 2.1334], [3.3711, -1.1236, 3.1281], [0.0518, 4.7742, 1.6591]], "species": ["Zr", "Au", "Sc", "Au"], "fractional_positions": [[0.3782, 0.5000, 0.8326], [0.8735, 0.5000, 0.3174], [0.3720, 0.0000, 0.4059], [0.8763, 0.0000, 0.9441]], "ef_kj_per_mol_atoms": -87, "space_group": "Pm, No. 6", "dos_at_fermi_per_ev_fu": 1.7, "crystal_system": "monoclinic"}

Record 6
{"formula": "ZrS3Br", "functional": "meta-GGA SCAN", "state": "PBEsol geometry", "cell": [[4.6940, 0.0000, 0.0000], [0.0000, 4.6940, 0.0000], [0.0000, 0.0000, 4.6940]], "species": ["Br", "S", "S", "S", "Zr"], "fractional_positions": [[0.0000, 0.0000, 0.0000], [0.0000, 0.0000, 0.5000], [0.5000, 0.0000, 0.0000], [0.0000, 0.5000, 0.0000], [0.5000, 0.5000, 0.5000]], "space_group": "Pm-3m, No. 221", "raw_formation_energy_ev_per_atom": 0.66, "dos_at_fermi_per_ev_fu": 3.1, "crystal_system": "cubic"}

Results for calculated total energy: -20.027, -36.879, -13.096, -12.571, -46.709, -15.151 (in eV per atom, following the order of the records).
Results for total moment: 0.00, 0.00, 1.00, 0.00, 0.00, 0.97 (in μB/f.u., following the order of the records).